Arrangement one

A geometry-optimized Pm2Dy5Er12 structure. Source: Alexandria via LeMat-Bulk, functional PBE-GGA. Values from VASP.

Symmetry ... C2/m (12)
ρ ... 8491 kg/m3
Magnetization ... 0.00 Bohr magnetons per cell

The structure in Quantum ESPRESSO input format:
```
&SYSTEM
  ibrav = 0, nat = 19, ntyp = 3
/
ATOMIC_SPECIES
Pm 145.00 Pm.upf
Dy 162.50 Dy.upf
Er 167.26 Er.upf
CELL_PARAMETERS angstrom
-2.293 -5.531 -6.953
11.934 -0.862 2.805
-7.014 -2.297 4.140
ATOMIC_POSITIONS angstrom
Pm -1.567 -3.781 -4.753
Pm -0.726 -1.750 -2.200
Dy 2.217 -3.598 2.131
Dy -1.218 -3.727 3.367
Dy -3.507 -1.149 2.070
Dy 3.845 -4.963 -3.374
Dy 0.410 -5.092 -2.139
Er -0.128 -1.361 1.125
Er 1.611 -2.875 5.623
Er 0.146 -6.408 1.182
Er 5.683 -2.568 2.487
Er 4.805 -4.685 -0.175
Er -5.420 -4.979 -0.306
Er 8.046 -3.711 0.299
Er -3.056 -6.122 -2.495
Er -2.179 -4.004 0.167
Er 1.016 -5.815 -5.631
Er 2.481 -2.282 -1.189
Er 2.755 -7.329 -1.133
```


Arrangement two

A geometry-optimized Pm2Dy5Er12 structure. Source: Alexandria via LeMat-Bulk, functional PBE-GGA. Values from VASP.

Symmetry ... P-1 (2)
ρ ... 8745 kg/m3
Magnetization ... 0.00 Bohr magnetons per cell

The structure in Quantum ESPRESSO input format:
```
&SYSTEM
  ibrav = 0, nat = 19, ntyp = 3
/
ATOMIC_SPECIES
Pm 145.00 Pm.upf
Dy 162.50 Dy.upf
Er 167.26 Er.upf
CELL_PARAMETERS angstrom
6.104 0.249 -0.248
-2.677 8.199 -7.063
-0.378 -2.131 13.484
ATOMIC_POSITIONS angstrom
Pm 1.955 7.886 -6.513
Pm 1.094 -1.569 12.685
Dy 0.494 4.307 3.923
Dy -0.795 4.828 -2.012
Dy -0.189 -1.066 6.742
Dy 3.844 1.489 8.184
Dy 2.555 2.010 2.249
Er -0.384 0.892 3.833
Er -0.994 6.771 -4.920
Er 2.156 5.924 -3.588
Er -0.603 2.884 0.910
Er 2.355 3.986 -0.680
Er 0.281 6.280 1.009
Er 2.769 0.037 5.163
Er 3.653 3.433 5.262
Er 0.694 2.331 6.852
Er 4.043 -0.454 11.092
Er 0.893 0.394 9.760
Er 3.434 5.425 2.339
```


In terms of stability, arrangement two leads; the second structure lies 110 meV/atom higher.